VASP calculation (PBE) on a geometry-optimized HfNp2TiN4 structure.

a b c (Å): 3.2219 5.5717 5.8237
angles (deg): 108.57 90.00 90.00
Positions (direct):
Hf (0.5000, 0.5000, 0.0000)
Np (0.5000, 0.0000, 0.5000)
Np (0.0000, 0.5000, 0.5000)
Ti (0.0000, 0.0000, 0.0000)
N (0.5000, 0.2343, 0.2199)
N (0.5000, 0.7657, 0.7801)
N (0.0000, 0.2540, 0.7792)
N (0.0000, 0.7460, 0.2208)

Computed properties:
As for the formation energy (no corrections): -1420 meV per atom. The calculation puts the spin magnetization at 6.09 μB per cell. Its crystal system is monoclinic. Its space group is P2/m (10).

---

VASP calculation (PBE) on a geometry-optimized La2HoScTe4 structure.

a b c (Å): 4.3510 7.5811 7.8018
angles (deg): 108.70 90.00 90.00
Positions (direct):
La (0.5000, 0.0000, 0.5000)
La (0.0000, 0.5000, 0.5000)
Ho (0.5000, 0.5000, 0.0000)
Sc (0.0000, 0.0000, 0.0000)
Te (0.5000, 0.2348, 0.2232)
Te (0.5000, 0.7652, 0.7768)
Te (0.0000, 0.2515, 0.7726)
Te (0.0000, 0.7485, 0.2274)

Computed properties:
As for the formation energy (no corrections): -1380 meV per atom. The calculation puts the spin magnetization at 0.00 μB per cell. Its crystal system is monoclinic. Its space group is P2/m (10).

---

VASP calculation (PBE) on a geometry-optimized KPb5Au3 structure.

a b c (Å): 4.5654 8.2643 15.4404
angles (deg): 90.00 90.00 106.03
Positions (direct):
K (0.8329, 0.6658, 0.7500)
K (0.1671, 0.3342, 0.2500)
Pb (0.8021, 0.6043, 0.4275)
Pb (0.1979, 0.3957, 0.9275)
Pb (0.0000, 0.0000, 0.5000)
Pb (0.0000, 0.0000, 0.0000)
Pb (0.4592, 0.9184, 0.1477)
Pb (0.5408, 0.0816, 0.8523)
Pb (0.5408, 0.0816, 0.6477)
Pb (0.8021, 0.6043, 0.0725)
Pb (0.1979, 0.3957, 0.5725)
Pb (0.4592, 0.9184, 0.3523)
Au (0.3762, 0.7524, 0.9603)
Au (0.8675, 0.7350, 0.2500)
Au (0.3762, 0.7524, 0.5397)
Au (0.6238, 0.2476, 0.4603)
Au (0.1325, 0.2650, 0.7500)
Au (0.6238, 0.2476, 0.0397)

Computed properties:
Its calculated formation energy is -7.84 kJ/mol of atoms. The calculation puts the spin magnetization at 0.00 μB per cell. Its crystal system is orthorhombic. Its space group is Cmcm (63).

---

VASP calculation (PBE) on a geometry-optimized Er2IrAu structure.

a b c (Å): 3.4868 3.4868 6.9902
angles (deg): 90.00 90.00 90.00
Positions (direct):
Ir (0.5000, 0.5000, 0.0000)
Au (0.5000, 0.5000, 0.5000)
Er (0.0000, 0.0000, 0.7671)
Er (0.0000, 0.0000, 0.2329)

Computed properties:
Its calculated formation energy is -84.84 kJ/mol of atoms. The calculation puts the spin magnetization at 0.00 μB per cell. Its crystal system is tetragonal. Its space group is P4/mmm (123).

---

VASP calculation (PBE) on a geometry-optimized InIrS2 structure.

a b c (Å): 3.6542 3.6542 7.4224
angles (deg): 75.75 75.75 60.00
Positions (direct):
In (0.5025, 0.5025, 0.4924)
Ir (0.6657, 0.6657, 0.0029)
S (0.0533, 0.0533, 0.8400)
S (0.2784, 0.2784, 0.1647)

Computed properties:
As for the formation energy (no corrections): -283 meV per atom. The calculation puts the spin magnetization at 0.00 μB per cell. Its crystal system is trigonal. Its space group is R3m (160).